Compound: CsKRb4
Source: the Alexandria database
Functional: GGA-PBE
Structure: optimized geometry

Unit cell a=12.3229 b=12.3229 c=9.0502 alpha=100.22 beta=100.22 gamma=119.36
Fractional coordinates of all 12 atoms:
Cs1 0.0830 0.9170 0.7500
Cs2 0.9170 0.0830 0.2500
K1 0.4984 0.5016 0.7500
K2 0.5016 0.4984 0.2500
Rb1 0.0842 0.3391 0.8756
Rb2 0.2077 0.5943 0.4552
Rb3 0.3391 0.0842 0.3756
Rb4 0.4057 0.7923 0.0448
Rb5 0.5943 0.2077 0.9552
Rb6 0.6609 0.9158 0.6244
Rb7 0.7923 0.4057 0.5448
Rb8 0.9158 0.6609 0.1244

Output
Symmetry   C2/c, No. 15
Energy above the lowest structure with this stoichiometry   11.8 meV per atom
E   -0.954 eV per atom

---

Compound: CsK8Rb4
Source: the Alexandria database
Functional: GGA-PBE
Structure: optimized geometry

Unit cell a=12.0612 b=12.0612 c=12.0612 alpha=60.00 beta=60.00 gamma=60.00
Fractional coordinates of all 13 atoms:
Cs1 0.0000 0.0000 0.0000
K1 0.3422 0.3422 0.3422
K2 0.3422 0.3422 0.9735
K3 0.3422 0.9735 0.3422
K4 0.4530 0.8490 0.8490
K5 0.8490 0.4530 0.8490
K6 0.8490 0.8490 0.4530
K7 0.8490 0.8490 0.8490
K8 0.9735 0.3422 0.3422
Rb1 0.2033 0.5989 0.5989
Rb2 0.5989 0.2033 0.5989
Rb3 0.5989 0.5989 0.2033
Rb4 0.5989 0.5989 0.5989

Output
Symmetry   F-43m, No. 216
E   -0.907 eV per atom

---

Compound: Cs2K2Rb
Source: the Alexandria database
Functional: GGA-PBE
Structure: optimized geometry

Unit cell a=9.5030 b=9.5030 c=13.7347 alpha=105.09 beta=105.09 gamma=50.43
Fractional coordinates of all 10 atoms:
Cs1 0.0559 0.0559 0.3508
Cs2 0.1601 0.1601 0.0422
Cs3 0.8399 0.8399 0.9578
Cs4 0.9441 0.9441 0.6492
K1 0.3627 0.3627 0.4307
K2 0.4602 0.4602 0.1465
K3 0.5398 0.5398 0.8535
K4 0.6373 0.6373 0.5693
Rb1 0.2558 0.2558 0.7234
Rb2 0.7442 0.7442 0.2766

Output
Symmetry   C2/m, No. 12
Energy above the lowest structure with this stoichiometry   0.6 meV per atom
E   -0.967 eV per atom

---

Compound: CsK2Rb6
Source: the Alexandria database
Functional: GGA-PBE
Structure: optimized geometry

Unit cell a=8.4205 b=8.4205 c=21.5239 alpha=98.10 beta=98.10 gamma=32.87
Fractional coordinates of all 9 atoms:
Cs1 0.0000 0.0000 0.0000
K1 0.3299 0.3299 0.3369
K2 0.6701 0.6701 0.6631
Rb1 0.0430 0.0430 0.2359
Rb2 0.2817 0.2817 0.1154
Rb3 0.3808 0.3808 0.5573
Rb4 0.6192 0.6192 0.4427
Rb5 0.7183 0.7183 0.8846
Rb6 0.9570 0.9570 0.7641

Output
Symmetry   C2/m, No. 12
Energy above the lowest structure with this stoichiometry   23.9 meV per atom
E   -0.954 eV per atom

---

Compound: CsK7Rb5
Source: the Alexandria database
Functional: GGA-PBE
Structure: optimized geometry

Unit cell a=8.8084 b=8.8084 c=32.3225 alpha=90.00 beta=90.00 gamma=120.00
Fractional coordinates of all 26 atoms:
Cs1 0.3333 0.6667 0.2500
Cs2 0.6667 0.3333 0.7500
K1 0.0000 0.0000 0.0000
K2 0.0000 0.0000 0.5000
K3 0.1674 0.3348 0.1138
K4 0.1674 0.3348 0.3862
K5 0.1674 0.8326 0.1138
K6 0.1674 0.8326 0.3862
K7 0.3348 0.1674 0.6138
K8 0.3348 0.1674 0.8862
K9 0.6652 0.8326 0.1138
K10 0.6652 0.8326 0.3862
K11 0.8326 0.1674 0.6138
K12 0.8326 0.1674 0.8862
K13 0.8326 0.6652 0.6138
K14 0.8326 0.6652 0.8862
Rb1 0.0000 0.0000 0.2500
Rb2 0.0000 0.0000 0.7500
Rb3 0.3333 0.6667 0.5244
Rb4 0.3333 0.6667 0.6790
Rb5 0.3333 0.6667 0.8210
Rb6 0.3333 0.6667 0.9756
Rb7 0.6667 0.3333 0.0244
Rb8 0.6667 0.3333 0.1790
Rb9 0.6667 0.3333 0.3210
Rb10 0.6667 0.3333 0.4756

Output
Symmetry   P6_3/mmc, No. 194
Energy above the lowest structure with this stoichiometry   0.0 meV per atom
E   -1.023 eV per atom

---

Compound: CsK4Rb2
Source: the Alexandria database
Functional: GGA-PBE
Structure: optimized geometry

Unit cell a=9.1713 b=9.1713 c=16.6553 alpha=90.00 beta=90.00 gamma=57.92
Fractional coordinates of all 14 atoms:
Cs1 0.0000 0.0000 0.0000
Cs2 0.5000 0.5000 0.5000
K1 0.0039 0.4961 0.7500
K2 0.0064 0.9936 0.7126
K3 0.4936 0.5064 0.2126
K4 0.4961 0.0039 0.2500
K5 0.5039 0.9961 0.7500
K6 0.5064 0.4936 0.7874
K7 0.9936 0.0064 0.2874
K8 0.9961 0.5039 0.2500
Rb1 0.1829 0.1829 0.5000
Rb2 0.3171 0.3171 0.0000
Rb3 0.6829 0.6829 0.0000
Rb4 0.8171 0.8171 0.5000

Output
Symmetry   Cmce, No. 64
Energy above the lowest structure with this stoichiometry   0.0 meV per atom
E   -1.009 eV per atom

---

Compound: Cs2K3Rb3
Source: the Alexandria database
Functional: GGA-PBE
Structure: optimized geometry

Unit cell a=14.4597 b=14.4597 c=14.4597 alpha=150.98 beta=150.88 gamma=41.58
Fractional coordinates of all 8 atoms:
Cs1 0.2497 0.2497 0.0000
Cs2 0.7503 0.7503 0.0000
K1 0.0000 0.0000 0.0000
K2 0.3855 0.8855 0.5000
K3 0.6145 0.1145 0.5000
Rb1 0.1157 0.6157 0.5000
Rb2 0.5000 0.5000 0.0000
Rb3 0.8843 0.3843 0.5000

Output
Symmetry   Immm, No. 71
Energy above the lowest structure with this stoichiometry   0.0 meV per atom
E   -0.982 eV per atom

---

Compound: CsK12Rb2
Source: the Alexandria database
Functional: GGA-PBE
Structure: optimized geometry

Unit cell a=8.6199 b=8.6199 c=33.7308 alpha=90.00 beta=90.00 gamma=90.00
Fractional coordinates of all 30 atoms:
Cs1 0.2500 0.7500 0.0000
Cs2 0.7500 0.2500 0.0000
K1 0.0017 0.5017 0.1197
K2 0.0017 0.9983 0.8803
K3 0.0741 0.5741 0.4405
K4 0.0741 0.9259 0.5595
K5 0.2500 0.2500 0.2182
K6 0.2500 0.2500 0.3460
K7 0.2500 0.2500 0.6540
K8 0.2500 0.2500 0.7818
K9 0.4259 0.5741 0.5595
K10 0.4259 0.9259 0.4405
K11 0.4983 0.5017 0.8803
K12 0.4983 0.9983 0.1197
K13 0.5017 0.0017 0.8803
K14 0.5017 0.4983 0.1197
K15 0.5741 0.0741 0.5595
K16 0.5741 0.4259 0.4405
K17 0.7500 0.7500 0.2182
K18 0.7500 0.7500 0.3460
K19 0.7500 0.7500 0.6540
K20 0.7500 0.7500 0.7818
K21 0.9259 0.0741 0.4405
K22 0.9259 0.4259 0.5595
K23 0.9983 0.0017 0.1197
K24 0.9983 0.4983 0.8803
Rb1 0.2500 0.7500 0.2808
Rb2 0.2500 0.7500 0.7192
Rb3 0.7500 0.2500 0.2808
Rb4 0.7500 0.2500 0.7192

Output
Symmetry   P4/nbm, No. 125
E   -1.007 eV per atom

---

Compound: Cs4K2Rb
Source: the Alexandria database
Functional: GGA-PBE
Structure: optimized geometry

Unit cell a=13.1457 b=13.1457 c=13.1457 alpha=141.73 beta=141.73 gamma=55.23
Fractional coordinates of all 7 atoms:
Cs1 0.0000 0.5000 0.5000
Cs2 0.2003 0.2003 0.0000
Cs3 0.5000 0.0000 0.5000
Cs4 0.7997 0.7997 0.0000
K1 0.3992 0.3992 0.0000
K2 0.6008 0.6008 0.0000
Rb1 0.0000 0.0000 0.0000

Output
Symmetry   I4/mmm, No. 139
Energy above the lowest structure with this stoichiometry   112.2 meV per atom
E   -0.806 eV per atom

---

Compound: CsK3Rb7
Source: the Alexandria database
Functional: GGA-PBE
Structure: optimized geometry

Unit cell a=15.0530 b=15.0530 c=5.0898 alpha=90.00 beta=90.00 gamma=120.00
Fractional coordinates of all 11 atoms:
Cs1 0.0000 0.0000 0.0000
K1 0.3235 0.1618 0.5238
K2 0.8382 0.1618 0.5238
K3 0.8382 0.6765 0.5238
Rb1 0.1991 0.3981 0.3913
Rb2 0.1991 0.8009 0.3913
Rb3 0.5089 0.0178 0.9180
Rb4 0.5089 0.4911 0.9180
Rb5 0.6019 0.8009 0.3913
Rb6 0.6667 0.3333 0.3349
Rb7 0.9822 0.4911 0.9180

Output
Symmetry   P3m1, No. 156
Energy above the lowest structure with this stoichiometry   0.0 meV per atom
E   -0.963 eV per atom

---

Compound: Cs3K6Rb5
Source: the Alexandria database
Functional: GGA-PBE
Structure: optimized geometry

Unit cell a=7.8903 b=23.0022 c=13.8042 alpha=90.00 beta=90.00 gamma=90.00
Fractional coordinates of all 28 atoms:
Cs1 0.2500 0.0710 0.2412
Cs2 0.2500 0.4290 0.2412
Cs3 0.2500 0.7500 0.4138
Cs4 0.7500 0.2500 0.5862
Cs5 0.7500 0.5710 0.7588
Cs6 0.7500 0.9290 0.7588
K1 0.2500 0.0154 0.9051
K2 0.2500 0.2500 0.3807
K3 0.2500 0.2500 0.9806
K4 0.2500 0.4846 0.9051
K5 0.2500 0.5619 0.5451
K6 0.2500 0.9381 0.5451
K7 0.7500 0.0619 0.4549
K8 0.7500 0.4381 0.4549
K9 0.7500 0.5154 0.0949
K10 0.7500 0.7500 0.0194
K11 0.7500 0.7500 0.6193
K12 0.7500 0.9846 0.0949
Rb1 0.2500 0.1303 0.6517
Rb2 0.2500 0.3697 0.6517
Rb3 0.2500 0.6400 0.1054
Rb4 0.2500 0.7500 0.7944
Rb5 0.2500 0.8600 0.1054
Rb6 0.7500 0.1400 0.8946
Rb7 0.7500 0.2500 0.2056
Rb8 0.7500 0.3600 0.8946
Rb9 0.7500 0.6303 0.3483
Rb10 0.7500 0.8697 0.3483

Output
Symmetry   Pmmn, No. 59
E   -0.972 eV per atom

---

Compound: Cs9K2Rb3
Source: the Alexandria database
Functional: GGA-PBE
Structure: optimized geometry

Unit cell a=14.0511 b=14.0511 c=14.0511 alpha=145.93 beta=95.94 gamma=93.91
Fractional coordinates of all 14 atoms:
Cs1 0.0000 0.0000 0.0000
Cs2 0.0971 0.2343 0.8628
Cs3 0.2461 0.8769 0.3692
Cs4 0.3714 0.2343 0.1372
Cs5 0.4924 0.1231 0.3692
Cs6 0.5076 0.8769 0.6308
Cs7 0.6286 0.7657 0.8628
Cs8 0.7539 0.1231 0.6308
Cs9 0.9029 0.7657 0.1372
K1 0.1416 0.6416 0.5000
K2 0.8584 0.3584 0.5000
Rb1 0.2163 0.5000 0.7163
Rb2 0.5000 0.5000 0.0000
Rb3 0.7837 0.5000 0.2837

Output
Symmetry   Immm, No. 71
E   -0.878 eV per atom

---

Compound: Cs2K2Rb
Source: the Alexandria database
Functional: GGA-PBE
Structure: optimized geometry

Unit cell a=14.3460 b=14.3460 c=14.3460 alpha=155.74 beta=155.74 gamma=34.58
Fractional coordinates of all 5 atoms:
Cs1 0.1031 0.1031 0.0000
Cs2 0.8969 0.8969 0.0000
K1 0.2500 0.7500 0.5000
K2 0.7500 0.2500 0.5000
Rb1 0.5000 0.5000 0.0000

Output
Symmetry   I4/mmm, No. 139
Energy above the lowest structure with this stoichiometry   48.8 meV per atom
E   -0.919 eV per atom

---

Compound: CsK6Rb6
Source: the Alexandria database
Functional: GGA-PBE
Structure: optimized geometry

Unit cell a=8.9386 b=8.9386 c=16.1712 alpha=90.00 beta=90.00 gamma=120.00
Fractional coordinates of all 13 atoms:
Cs1 0.0000 0.0000 0.0000
K1 0.0000 0.5000 0.2430
K2 0.0000 0.5000 0.7570
K3 0.5000 0.0000 0.2430
K4 0.5000 0.0000 0.7570
K5 0.5000 0.5000 0.2430
K6 0.5000 0.5000 0.7570
Rb1 0.0000 0.0000 0.3555
Rb2 0.0000 0.0000 0.6445
Rb3 0.3333 0.6667 0.0000
Rb4 0.3333 0.6667 0.5000
Rb5 0.6667 0.3333 0.0000
Rb6 0.6667 0.3333 0.5000

Output
Symmetry   P6/mmm, No. 191
Energy above the lowest structure with this stoichiometry   2.5 meV per atom
E   -1.003 eV per atom

---

Compound: Cs7K16Rb6
Source: the Alexandria database
Functional: GGA-PBE
Structure: optimized geometry

Unit cell a=15.4738 b=15.4738 c=15.4738 alpha=60.00 beta=60.00 gamma=60.00
Fractional coordinates of all 29 atoms:
Cs1 0.0000 0.0000 0.0000
Cs2 0.0000 0.0000 0.5000
Cs3 0.0000 0.5000 0.0000
Cs4 0.0000 0.5000 0.5000
Cs5 0.5000 0.0000 0.0000
Cs6 0.5000 0.0000 0.5000
Cs7 0.5000 0.5000 0.0000
K1 0.0150 0.3283 0.3283
K2 0.1199 0.1199 0.1199
K3 0.1199 0.1199 0.6403
K4 0.1199 0.6403 0.1199
K5 0.3283 0.0150 0.3283
K6 0.3283 0.3283 0.0150
K7 0.3283 0.3283 0.3283
K8 0.3597 0.8801 0.8801
K9 0.6403 0.1199 0.1199
K10 0.6717 0.6717 0.6717
K11 0.6717 0.6717 0.9850
K12 0.6717 0.9850 0.6717
K13 0.8801 0.3597 0.8801
K14 0.8801 0.8801 0.3597
K15 0.8801 0.8801 0.8801
K16 0.9850 0.6717 0.6717
Rb1 0.2947 0.2947 0.7053
Rb2 0.2947 0.7053 0.2947
Rb3 0.2947 0.7053 0.7053
Rb4 0.7053 0.2947 0.2947
Rb5 0.7053 0.2947 0.7053
Rb6 0.7053 0.7053 0.2947

Output
Symmetry   Fm-3m, No. 225
E   -0.963 eV per atom

---

Compound: Cs4K2Rb5
Source: the Alexandria database
Functional: GGA-PBE
Structure: optimized geometry

Unit cell a=17.4657 b=17.4657 c=12.5103 alpha=94.84 beta=94.84 gamma=16.25
Fractional coordinates of all 11 atoms:
Cs1 0.0417 0.0417 0.3498
Cs2 0.2718 0.2718 0.1860
Cs3 0.7282 0.7282 0.8140
Cs4 0.9583 0.9583 0.6502
K1 0.4100 0.4100 0.2952
K2 0.5900 0.5900 0.7048
Rb1 0.1292 0.1292 0.0482
Rb2 0.1801 0.1801 0.4620
Rb3 0.5000 0.5000 0.0000
Rb4 0.8199 0.8199 0.5380
Rb5 0.8708 0.8708 0.9518

Output
Symmetry   C2/m, No. 12
E   -0.928 eV per atom

---

Compound: Cs2K2Rb
Source: the Alexandria database
Functional: GGA-PBE
Structure: optimized geometry

Unit cell a=12.9491 b=12.9491 c=5.6717 alpha=90.00 beta=90.00 gamma=90.00
Fractional coordinates of all 10 atoms:
Cs1 0.1714 0.3286 0.0000
Cs2 0.3286 0.8286 0.0000
Cs3 0.6714 0.1714 0.0000
Cs4 0.8286 0.6714 0.0000
K1 0.1261 0.6261 0.5000
K2 0.3739 0.1261 0.5000
K3 0.6261 0.8739 0.5000
K4 0.8739 0.3739 0.5000
Rb1 0.0000 0.0000 0.5000
Rb2 0.5000 0.5000 0.5000

Output
Symmetry   P4/mbm, No. 127
Energy above the lowest structure with this stoichiometry   18.4 meV per atom
E   -0.949 eV per atom

---

Compound: Cs2K16Rb
Source: the Alexandria database
Functional: GGA-PBE
Structure: optimized geometry

Unit cell a=11.6296 b=11.6296 c=11.6296 alpha=82.00 beta=82.00 gamma=82.00
Fractional coordinates of all 19 atoms:
Cs1 0.0000 0.0000 0.0000
Cs2 0.3310 0.3310 0.3310
K1 0.0184 0.0184 0.5067
K2 0.0184 0.5067 0.0184
K3 0.1691 0.6615 0.6615
K4 0.3111 0.3111 0.8184
K5 0.3111 0.8184 0.3111
K6 0.3624 0.6635 0.9653
K7 0.3624 0.9653 0.6635
K8 0.5067 0.0184 0.0184
K9 0.5658 0.5658 0.5658
K10 0.6615 0.1691 0.6615
K11 0.6615 0.6615 0.1691
K12 0.6635 0.3624 0.9653
K13 0.6635 0.9653 0.3624
K14 0.8184 0.3111 0.3111
K15 0.9653 0.3624 0.6635
K16 0.9653 0.6635 0.3624
Rb1 0.7637 0.7637 0.7637

Output
Symmetry   R3m, No. 160
E   -1.045 eV per atom

---

no.,total magnetization (μB per cell)
1,0.00
2,0.00
3,0.00
4,0.00
5,0.00
6,0.00
7,0.00
8,0.00
9,0.00
10,0.00
11,0.00
12,0.00
13,0.00
14,0.00
15,0.00
16,0.00
17,0.00
18,0.00